A plane-wave DFT calculation with GGA-PBE was carried out for a relaxed AgSnBrCl6 crystal.

The theoretical density comes out at 3.01 Mg/m³. The uncorrected formation energy is -47 kJ/mol of atoms. As for the magnetic moment: 4.03 Bohr magnetons per cell.

The structure belongs to space group C2 (No. 5); the cell edges are 6.651, 11.528 and 7.465 Å and the angles 90.00°, 90.09° and 90.00°. The inequivalent atoms are Ag at (0.000, 0.000, 0.000), Sn at (0.000, 0.667, 0.000), Br at (0.000, 0.333, 0.500), Cl at (0.141, 0.824, 0.191), Cl at (0.166, 0.518, 0.191) and Cl at (0.195, 0.158, 0.191).